Model i:
A geometry-optimized CuAg2Pd2 structure, computed with PBE-GGA.

Computed properties:
ρ ... 10.3 g cm⁻³
M_tot ... 0.00 μB/f.u.
V ... 158.3 Å³/cell

Cell lengths 6.707, 6.707, 5.454 Å; angles 105.56, 105.56, 42.36 degrees
Positions (direct):
Cu 0.094 0.906 0.750
Cu 0.906 0.094 0.250
Ag 0.109 0.282 0.648
Ag 0.282 0.109 0.148
Ag 0.718 0.891 0.852
Ag 0.891 0.718 0.352
Pd 0.314 0.496 0.050
Pd 0.496 0.314 0.550
Pd 0.504 0.686 0.450
Pd 0.686 0.504 0.950



Model ii:
A geometry-optimized CuAg2Pd2 structure, computed with PBE-GGA.

Computed properties:
ρ ... 8.9 g cm⁻³
M_tot ... 0.00 μB/f.u.
V ... 91.7 Å³/cell

Cell lengths 7.249, 7.249, 7.249 Å; angles 150.58, 150.58, 42.09 degrees
Positions (direct):
Cu 0.000 0.000 0.000
Ag 0.250 0.750 0.500
Ag 0.750 0.250 0.500
Pd 0.405 0.405 0.000
Pd 0.595 0.595 0.000



The structure with the most favorable energy is model i; the runner-up is 0.430 eV/atom above it.